A relaxed FeRuRh2O6 crystal. Source: Alexandria via LeMat-Bulk, functional GGA+U.

The structure in POSCAR format:
```
FeRuRh2O6
1.0
-2.901 -3.504 2.498
-2.175 -3.914 -2.624
2.123 -5.096 0.708
Fe Ru Rh O
1 1 2 6
Cartesian
-2.940 -8.887 0.294 Fe
-1.560 -2.563 -0.016 Ru
-1.670 -6.124 0.253 Rh
1.989 -5.004 0.682 Rh
-1.689 -4.241 1.118 O
-2.116 -5.673 -1.720 O
-3.475 -6.896 0.915 O
-1.200 -8.134 -0.313 O
-0.730 -6.771 2.064 O
0.376 -5.843 -0.312 O
```

## Properties
- space-group type = R3
- raw total energy (eV/cell) = -67.8